First-principles (PBE-GGA) data for crystalline Tm4NiHg3 at its relaxed geometry, as listed in the Alexandria database.

a b c (Å): 3.5393 3.5393 14.8512
angles (deg): 90.00 90.00 90.00
Last column: nearest neighbours and their distance in Å.
Space group P4/mmm (No. 123)
One atom of each set of equivalent atoms:
Tm 0.0000 0.0000 0.1062 [2 per cell]  4 Ni 2.96, 1 Tm 3.16, 4 Hg 3.21
Tm 0.0000 0.0000 0.3701 [2 per cell]  8 Hg 3.15-3.16
Ni 0.5000 0.5000 0.0000 [1 per cell]  8 Tm 2.96
Hg 0.5000 0.5000 0.2416 [2 per cell]  8 Tm 3.15-3.21
Hg 0.5000 0.5000 0.5000 [1 per cell]  8 Tm 3.16, 4 Hg 3.54

Properties
* total magnetization: 0.00 μB/f.u.
* uncorrected energy: -3.53 eV per atom